(1)
{"formula": "La2NdErSe6", "functional": "PBE", "state": "optimized geometry", "m_tot_mub_per_cell": 0.0, "e_form_raw_ev_per_atom": -1.91, "energy_ev_per_cell": -59.2, "lattice_angstrom": [[3.745, 2.162, 6.552], [-3.745, 2.162, 6.552], [0.000, -4.325, 6.552]], "species": ["La", "La", "Nd", "Er", "Se", "Se", "Se", "Se", "Se", "Se"], "fractional_positions": [[0.000, 0.000, 0.000], [0.498, 0.498, 0.498], [0.293, 0.293, 0.293], [0.796, 0.796, 0.796], [0.077, 0.682, 0.420], [0.176, 0.592, 0.906], [0.420, 0.077, 0.682], [0.592, 0.906, 0.176], [0.682, 0.420, 0.077], [0.906, 0.176, 0.592]]}

(2)
{"formula": "CuSN2F", "functional": "PBE", "state": "optimized geometry", "m_tot_mub_per_cell": 1.4, "e_form_raw_ev_per_atom": 1.40, "energy_ev_per_cell": -19.8, "lattice_angstrom": [[3.899, 0.000, 0.000], [0.000, 3.899, 0.000], [0.000, 0.000, 3.754]], "species": ["Cu", "S", "N", "N", "F"], "fractional_positions": [[0.000, 0.000, 0.000], [0.500, 0.500, 0.500], [0.000, 0.500, 0.000], [0.500, 0.000, 0.000], [0.000, 0.000, 0.500]]}

(3)
{"formula": "Np2MnCrS5", "functional": "PBE", "state": "optimized geometry", "m_tot_mub_per_cell": 14.2, "e_form_raw_ev_per_atom": -1.01, "energy_ev_per_cell": -148.9, "lattice_angstrom": [[1.866, -7.773, 0.000], [1.866, 7.773, 0.000], [0.000, 0.000, 11.307]], "species": ["Np", "Np", "Np", "Np", "Mn", "Mn", "Cr", "Cr", "S", "S", "S", "S", "S", "S", "S", "S", "S", "S"], "fractional_positions": [[0.116, 0.884, 0.500], [0.127, 0.873, 0.858], [0.873, 0.127, 0.358], [0.884, 0.116, 0.000], [0.436, 0.564, 0.594], [0.564, 0.436, 0.094], [0.180, 0.820, 0.183], [0.820, 0.180, 0.683], [0.019, 0.981, 0.189], [0.300, 0.700, 0.527], [0.307, 0.693, 0.830], [0.338, 0.662, 0.178], [0.499, 0.501, 0.416], [0.501, 0.499, 0.916], [0.662, 0.338, 0.678], [0.693, 0.307, 0.330], [0.700, 0.300, 0.027], [0.981, 0.019, 0.689]]}

(4)
{"formula": "ErScH8Ir2", "functional": "PBE", "state": "optimized geometry", "m_tot_mub_per_cell": 0.0, "energy_ev_per_cell": -59.3, "lattice_angstrom": [[4.457, -2.132, 0.000], [4.457, 2.132, 0.000], [-1.518, 0.000, 5.685]], "species": ["Er", "Sc", "H", "H", "H", "H", "H", "H", "H", "H", "Ir", "Ir"], "fractional_positions": [[0.000, 0.000, 0.000], [0.500, 0.500, 0.500], [0.069, 0.598, 0.669], [0.081, 0.081, 0.650], [0.402, 0.931, 0.331], [0.411, 0.411, 0.076], [0.589, 0.589, 0.924], [0.598, 0.069, 0.669], [0.919, 0.919, 0.350], [0.931, 0.402, 0.331], [0.272, 0.272, 0.835], [0.728, 0.728, 0.165]]}

(5)
{"formula": "NdY7Tm5", "functional": "PBE", "state": "optimized geometry", "m_tot_mub_per_cell": 0.0, "energy_ev_per_cell": -69.3, "e_form_ev_per_atom": 0.24, "lattice_angstrom": [[-3.332, 5.578, 5.774], [3.332, -5.578, 5.774], [3.332, 5.578, -5.774]], "species": ["Nd", "Y", "Y", "Y", "Y", "Y", "Y", "Y", "Tm", "Tm", "Tm", "Tm", "Tm"], "fractional_positions": [[0.000, 0.000, 0.000], [0.111, 0.442, 0.670], [0.198, 0.698, 0.500], [0.268, 0.943, 0.325], [0.387, 0.387, 0.000], [0.619, 0.943, 0.675], [0.698, 0.698, 0.000], [0.772, 0.442, 0.330], [0.424, 0.429, 0.465], [0.424, 0.960, 0.995], [0.688, 0.188, 0.500], [0.964, 0.429, 0.005], [0.964, 0.960, 0.535]]}

(6)
{"formula": "Dy6SnTe2Se3", "functional": "PBE", "state": "optimized geometry", "m_tot_mub_per_cell": 0.0, "e_form_raw_ev_per_atom": -1.45, "energy_ev_per_cell": -65.7, "lattice_angstrom": [[3.658, -6.322, 0.000], [3.658, 6.322, 0.000], [-2.429, 0.000, 6.941]], "species": ["Dy", "Dy", "Dy", "Dy", "Dy", "Dy", "Sn", "Te", "Te", "Se", "Se", "Se"], "fractional_positions": [[0.090, 0.413, 0.772], [0.230, 0.230, 0.226], [0.413, 0.090, 0.772], [0.587, 0.910, 0.228], [0.770, 0.770, 0.774], [0.910, 0.587, 0.228], [0.000, 0.000, 0.500], [0.334, 0.666, 0.500], [0.666, 0.334, 0.500], [0.171, 0.829, 0.000], [0.500, 0.500, 0.000], [0.829, 0.171, 0.000]]}

(7)
{"formula": "K2Ta2VS6", "functional": "PBE", "state": "optimized geometry", "m_tot_mub_per_cell": 2.1, "e_form_raw_ev_per_atom": -1.10, "energy_ev_per_cell": -71.9, "lattice_angstrom": [[3.027, -5.286, 0.000], [3.027, 5.286, 0.000], [-1.760, 0.000, 7.688]], "species": ["K", "K", "Ta", "Ta", "V", "S", "S", "S", "S", "S", "S"], "fractional_positions": [[0.175, 0.825, 0.000], [0.825, 0.175, 0.000], [0.360, 0.640, 0.500], [0.640, 0.360, 0.500], [0.000, 0.000, 0.500], [0.049, 0.387, 0.678], [0.259, 0.259, 0.293], [0.387, 0.049, 0.678], [0.613, 0.951, 0.322], [0.741, 0.741, 0.707], [0.951, 0.613, 0.322]]}

(8)
{"formula": "Sm4Hg2C", "functional": "PBE", "state": "optimized geometry", "m_tot_mub_per_cell": 0.0, "energy_ev_per_cell": -31.1, "e_form_ev_per_atom": -0.34, "lattice_angstrom": [[6.389, -1.918, 0.000], [6.389, 1.918, 0.000], [-4.495, 0.000, 7.416]], "species": ["Sm", "Sm", "Sm", "Sm", "Hg", "Hg", "C"], "fractional_positions": [[0.087, 0.087, 0.336], [0.354, 0.354, 0.953], [0.646, 0.646, 0.047], [0.913, 0.913, 0.664], [0.363, 0.363, 0.334], [0.637, 0.637, 0.666], [0.000, 0.000, 0.000]]}